Here is an optimized crystal structure of MnAl2P2H10O13F2 from Alexandria via LeMat-Bulk. Energies are from PBE+U.

As for the total energy: -0.22464 Ha/atom.

a = 6.094 Å, b = 9.828 Å, c = 9.939 Å
α = 97.16°, β = 99.32°, γ = 92.83°
Sites, in units of the cell vectors:
H 0.085 0.090 0.837
H 0.517 0.192 0.424
H 0.385 0.632 0.180
H 0.483 0.808 0.576
H 0.002 0.848 0.298
H 0.626 0.646 0.132
H 0.284 0.945 0.198
H 0.110 0.913 0.661
H 0.722 0.779 0.641
H 0.515 0.153 0.810
H 0.716 0.055 0.802
H 0.374 0.354 0.868
H 0.890 0.087 0.339
H 0.485 0.847 0.190
H 0.615 0.368 0.820
H 0.278 0.221 0.359
H 0.906 0.225 0.456
H 0.094 0.775 0.544
H 0.915 0.910 0.163
H 0.998 0.152 0.702
Mn 0.351 0.403 0.588
Mn 0.649 0.597 0.412
O 0.118 0.254 0.202
O 0.483 0.689 0.799
O 0.993 0.697 0.398
O 0.881 0.421 0.816
O 0.305 0.530 0.417
O 0.119 0.579 0.184
O 0.172 0.822 0.639
O 0.564 0.061 0.828
O 0.108 0.550 0.673
O 0.700 0.867 0.989
O 0.882 0.746 0.798
O 0.436 0.939 0.172
O 0.229 0.377 0.007
O 0.300 0.133 0.011
O 0.695 0.470 0.583
O 0.543 0.673 0.210
O 0.517 0.311 0.201
O 0.457 0.327 0.790
O 0.371 0.212 0.449
O 0.985 0.069 0.747
O 0.828 0.178 0.361
O 0.629 0.788 0.551
O 0.771 0.623 0.993
O 0.892 0.450 0.327
O 0.007 0.303 0.602
O 0.015 0.931 0.253
F 0.264 0.883 0.904
F 0.736 0.117 0.096
F 0.189 0.626 0.946
F 0.811 0.374 0.054
Al 0.184 0.717 0.794
Al 0.816 0.283 0.206
Al 0.000 0.500 0.000
Al 0.500 0.000 0.000
P 0.917 0.436 0.669
P 0.083 0.564 0.331
P 0.293 0.270 0.106
P 0.707 0.730 0.894